# USF GGA-PBE relaxed
data_USF
_symmetry_space_group_name_H-M 'P 1'
_symmetry_Int_Tables_number 1
_cell_length_a 4.4331
_cell_length_b 4.4331
_cell_length_c 4.4331
_cell_angle_alpha 60.00
_cell_angle_beta 60.00
_cell_angle_gamma 60.00
loop_
_symmetry_equiv_pos_as_xyz
'x,y,z'
loop_
_atom_site_label
_atom_site_type_symbol
_atom_site_fract_x
_atom_site_fract_y
_atom_site_fract_z
U1 U 0.0000 0.0000 0.0000
S1 S 0.7500 0.7500 0.7500
F1 F 0.2500 0.2500 0.2500
# Formation energy (no corrections), eV/atom: -2.050
# Symmetry: F-43m (216)

# AcAl2Ga4Ag GGA-PBE relaxed
data_AcAl2Ga4Ag
_symmetry_space_group_name_H-M 'P 1'
_symmetry_Int_Tables_number 1
_cell_length_a 9.3488
_cell_length_b 9.3488
_cell_length_c 9.3488
_cell_angle_alpha 28.86
_cell_angle_beta 28.86
_cell_angle_gamma 28.86
loop_
_symmetry_equiv_pos_as_xyz
'x,y,z'
loop_
_atom_site_label
_atom_site_type_symbol
_atom_site_fract_x
_atom_site_fract_y
_atom_site_fract_z
Ac1 Ac 0.0000 0.0000 0.0000
Al1 Al 0.2413 0.2413 0.2413
Al2 Al 0.7587 0.7587 0.7587
Ga1 Ga 0.1323 0.1323 0.1323
Ga2 Ga 0.4011 0.4011 0.4011
Ga3 Ga 0.5989 0.5989 0.5989
Ga4 Ga 0.8677 0.8677 0.8677
Ag1 Ag 0.5000 0.5000 0.5000
# Symmetry: R-3m (166)
# ΔE_f, eV/atom: -0.171

# Pa2Ge2Rh GGA-PBE relaxed
data_Pa2Ge2Rh
_symmetry_space_group_name_H-M 'P 1'
_symmetry_Int_Tables_number 1
_cell_length_a 3.7824
_cell_length_b 6.7268
_cell_length_c 6.7268
_cell_angle_alpha 36.44
_cell_angle_beta 90.00
_cell_angle_gamma 90.00
loop_
_symmetry_equiv_pos_as_xyz
'x,y,z'
loop_
_atom_site_label
_atom_site_type_symbol
_atom_site_fract_x
_atom_site_fract_y
_atom_site_fract_z
Pa1 Pa 0.0000 0.0000 0.0000
Pa2 Pa 0.0000 0.2237 0.2237
Ge1 Ge 0.5000 0.6072 0.6072
Ge2 Ge 0.5000 0.8077 0.8077
Rh1 Rh 0.5000 0.4088 0.4088
# Symmetry: Amm2 (38)
# Energy relative to the lowest polymorph listed for this composition, eV per formula unit: 0.00
# ΔE_f, eV/atom: -0.638

# RbHfBr2 GGA-PBE relaxed
data_RbHfBr2
_symmetry_space_group_name_H-M 'P 1'
_symmetry_Int_Tables_number 1
_cell_length_a 10.3765
_cell_length_b 10.3765
_cell_length_c 10.3765
_cell_angle_alpha 21.06
_cell_angle_beta 21.06
_cell_angle_gamma 21.06
loop_
_symmetry_equiv_pos_as_xyz
'x,y,z'
loop_
_atom_site_label
_atom_site_type_symbol
_atom_site_fract_x
_atom_site_fract_y
_atom_site_fract_z
Rb1 Rb 0.0000 0.0000 0.0000
Hf1 Hf 0.5000 0.5000 0.5000
Br1 Br 0.4139 0.4139 0.4139
Br2 Br 0.5861 0.5861 0.5861
# Formation energy (no corrections), eV/atom: -0.573
# Symmetry: R-3m (166)
# Energy relative to the lowest polymorph listed for this composition, eV per formula unit: 0.00

# Hf3SbPb GGA-PBE relaxed
data_Hf3SbPb
_symmetry_space_group_name_H-M 'P 1'
_symmetry_Int_Tables_number 1
_cell_length_a 5.3127
_cell_length_b 5.3127
_cell_length_c 5.3127
_cell_angle_alpha 90.00
_cell_angle_beta 90.00
_cell_angle_gamma 90.00
loop_
_symmetry_equiv_pos_as_xyz
'x,y,z'
loop_
_atom_site_label
_atom_site_type_symbol
_atom_site_fract_x
_atom_site_fract_y
_atom_site_fract_z
Hf1 Hf 0.0000 0.0000 0.5000
Hf2 Hf 0.0000 0.5000 0.0000
Hf3 Hf 0.5000 0.0000 0.0000
Sb1 Sb 0.5000 0.5000 0.5000
Pb1 Pb 0.0000 0.0000 0.0000
# Formation energy (no corrections), eV/atom: 1.255
# Symmetry: Pm-3m (221)
# Energy relative to the lowest polymorph listed for this composition, eV per formula unit: 6.95

# La3PrMg2 GGA-PBE relaxed
data_La3PrMg2
_symmetry_space_group_name_H-M 'P 1'
_symmetry_Int_Tables_number 1
_cell_length_a 3.8823
_cell_length_b 3.8823
_cell_length_c 13.2359
_cell_angle_alpha 90.00
_cell_angle_beta 90.00
_cell_angle_gamma 90.00
loop_
_symmetry_equiv_pos_as_xyz
'x,y,z'
loop_
_atom_site_label
_atom_site_type_symbol
_atom_site_fract_x
_atom_site_fract_y
_atom_site_fract_z
La1 La 0.0000 0.0000 0.0000
La2 La 0.0000 0.0000 0.3069
La3 La 0.0000 0.0000 0.6931
Pr1 Pr 0.5000 0.5000 0.5000
Mg1 Mg 0.5000 0.5000 0.1535
Mg2 Mg 0.5000 0.5000 0.8465
# Symmetry: P4/mmm (123)
# ΔE_f, eV/atom: -0.064

We obtain electronic total energy values of -7.812, -3.490, -7.754, -4.140, -6.284, -3.856 eV per atom for the records listed above, in that order.